Compound: Tb2Sm3Cd
Source: the Alexandria database
Functional: PBE-GGA
Structure: relaxed

Calculated values
As for the symmetry: No. 123. The energy of formation from the pure elements comes out at -0.5 eV per formula unit. The final energy comes out at -24.876 eV/cell.

Cell lengths 3.6194, 3.6194, 14.2868 Å; angles 90.00, 90.00, 90.00 degrees
Fractional coordinates of all 6 atoms:
1 Tb 0.5000 0.5000 0.8237
2 Tb 0.5000 0.5000 0.1763
3 Sm 0.0000 0.0000 0.0000
4 Sm 0.0000 0.0000 0.6479
5 Sm 0.0000 0.0000 0.3521
6 Cd 0.5000 0.5000 0.5000

***

Compound: CaAc3Pr
Source: the Alexandria database
Functional: PBE-GGA
Structure: relaxed

Calculated values
As for the symmetry: No. 64. The energy of formation from the pure elements comes out at 0.7 eV per formula unit. The final energy comes out at -73.632 eV/cell.

Cell lengths 8.1926, 10.3374, 10.3374 Å; angles 90.47, 89.99, 89.99 degrees
Fractional coordinates of all 20 atoms:
1 Ca 0.2500 0.2474 0.7526
2 Ca 0.7500 0.7526 0.2474
3 Ca 0.2500 0.7472 0.2528
4 Ca 0.7500 0.2528 0.7472
5 Ac 0.6203 0.1091 0.0999
6 Ac 0.8797 0.9001 0.8909
7 Ac 0.3797 0.8909 0.9001
8 Ac 0.1203 0.0999 0.1091
9 Ac 0.6320 0.5953 0.9049
10 Ac 0.8680 0.0951 0.4047
11 Ac 0.3680 0.4047 0.0951
12 Ac 0.1320 0.9049 0.5953
13 Ac 0.6203 0.3999 0.3908
14 Ac 0.8797 0.6092 0.6001
15 Ac 0.3797 0.6001 0.6092
16 Ac 0.1203 0.3908 0.3999
17 Pr 0.8898 0.4015 0.0981
18 Pr 0.6102 0.9019 0.5984
19 Pr 0.1102 0.5985 0.9019
20 Pr 0.3898 0.0981 0.4016

***

Compound: BeBr3O
Source: the Alexandria database
Functional: PBE-GGA
Structure: relaxed

Calculated values
The value obtained for the formation energy without anion corrections is 0.85 eV per atom. As for the symmetry: No. 221. The final energy comes out at -9.460 eV/cell.

Cell lengths 4.6844, 4.6844, 4.6844 Å; angles 90.00, 90.00, 90.00 degrees
Fractional coordinates of all 5 atoms:
1 Be 0.5000 0.5000 0.5000
2 O 0.0000 0.0000 0.0000
3 Br 0.0000 0.5000 0.0000
4 Br 0.0000 0.0000 0.5000
5 Br 0.5000 0.0000 0.0000

***

Compound: Ta3Co
Source: the Alexandria database
Functional: PBE-GGA
Structure: relaxed

Calculated values
As for the symmetry: No. 10. The energy of formation from the pure elements comes out at 0.3 eV per formula unit. The final energy comes out at -42.374 eV/cell.

Cell lengths 2.8532, 4.4771, 5.2408 Å; angles 90.00, 79.54, 90.00 degrees
Each line ends with the local moment (μB).
Fractional coordinates of all 4 atoms:
1 Co 0.0000 0.0000 0.0000  0.75
2 Ta 0.7645 0.5000 0.7536  -0.01
3 Ta 0.5000 0.0000 0.5000  0.01
4 Ta 0.2355 0.5000 0.2464  -0.01

***

Compound: NaTlAg2
Source: the Alexandria database
Functional: PBE-GGA
Structure: relaxed

Calculated values
As for the symmetry: No. 122. The energy of formation from the pure elements comes out at 0.6 eV per formula unit. The final energy comes out at -17.497 eV/cell.

Cell lengths 8.1353, 8.1353, 6.4776 Å; angles 51.10, 51.10, 90.00 degrees
Fractional coordinates of all 8 atoms:
1 Na 0.5000 0.5000 0.0000
2 Na 0.2500 0.7500 0.5000
3 Tl 0.0000 0.0000 0.0000
4 Tl 0.7500 0.2500 0.5000
5 Ag 0.6348 0.1250 0.2500
6 Ag 0.1152 0.6250 0.2500
7 Ag 0.3750 0.3652 0.7500
8 Ag 0.8750 0.8848 0.7500

***

Compound: Zr2FeAs
Source: the Alexandria database
Functional: PBE-GGA
Structure: relaxed

Calculated values
As for the symmetry: No. 216. The energy of formation from the pure elements comes out at 0.3 eV per formula unit. The final energy comes out at -29.879 eV/cell.

Cell lengths 4.6122, 4.6122, 4.6122 Å; angles 60.00, 60.00, 60.00 degrees
Each line ends with the local moment (μB).
Fractional coordinates of all 4 atoms:
1 As 0.5000 0.5000 0.5000  0.01
2 Fe 0.7500 0.7500 0.7500  1.62
3 Zr 0.0000 0.0000 0.0000  -0.15
4 Zr 0.2500 0.2500 0.2500  0.39